[1]
Compound: ZrTaNi
Source: Alexandria
Functional: PBEsol
Structure: optimized geometry

Output
The formation energy is -0.1748 eV/atom. The calculation puts the spin magnetization at 0.00 μB/cell.

```
ZrTaNi
1.0
-1.5244 1.5244 5.4034
1.5244 -1.5244 5.4034
1.5244 1.5244 -5.4034
Zr Ta Ni
1 1 1
Cartesian
0.0000 0.0000 0.0000 Zr
0.0000 0.0000 7.5167 Ta
0.0000 0.0000 3.4766 Ni
```

***

[2]
Compound: Zr2TaNi
Source: Alexandria
Functional: PBEsol
Structure: optimized geometry

Output
Its polymorph energy (0 for the lowest one) is 0.0739 eV/atom. The formation energy is -0.0304 eV/atom. The calculation puts the spin magnetization at 0.00 μB/cell.

```
Zr2TaNi
1.0
-1.6666 2.2868 4.6714
1.6666 -2.2868 4.6714
1.6666 2.2868 -4.6714
Zr Ta Ni
2 1 1
Cartesian
0.0000 0.0000 0.0000 Zr
0.0000 2.2868 2.1518 Zr
0.0000 0.0000 4.3325 Ta
1.6666 0.0000 2.2882 Ni
```

***

[3]
Compound: Zr2TaNi
Source: Alexandria
Functional: PBEsol
Structure: optimized geometry

Output
Its polymorph energy (0 for the lowest one) is 0.1975 eV/atom. The formation energy is 0.0933 eV/atom. The calculation puts the spin magnetization at 0.00 μB/cell.

```
Zr2TaNi
1.0
1.5484 0.8940 8.7892
-1.5484 0.8940 8.7892
0.0000 -1.7879 8.7892
Zr Ta Ni
2 1 1
Cartesian
0.0000 0.0000 6.3789 Zr
0.0000 0.0000 19.9887 Zr
0.0000 0.0000 0.0000 Ta
0.0000 0.0000 13.1838 Ni
```

***

[4]
Compound: Zr2TaNi
Source: Alexandria
Functional: PBEsol
Structure: optimized geometry

Output
Its polymorph energy (0 for the lowest one) is 0.0000 eV/atom. The formation energy is -0.1042 eV/atom. The calculation puts the spin magnetization at 0.00 μB/cell.

```
Zr2TaNi
1.0
3.0646 0.0000 0.0000
0.0000 3.0646 0.0000
0.0000 0.0000 7.6857
Zr Ta Ni
2 1 1
Cartesian
0.0000 0.0000 0.0000 Zr
1.5323 1.5323 2.3695 Zr
1.5323 1.5323 5.6018 Ta
0.0000 0.0000 4.2290 Ni
```

***

[5]
Compound: ZrTa2Ni2
Source: Alexandria
Functional: PBEsol
Structure: optimized geometry

Output
The formation energy is -0.0300 eV/atom. The calculation puts the spin magnetization at 0.00 μB/cell.

```
ZrTa2Ni2
1.0
-1.9582 1.9582 5.3613
1.9582 -1.9582 5.3613
1.9582 1.9582 -5.3613
Zr Ta Ni
1 2 2
Cartesian
0.0000 0.0000 0.0000 Zr
1.9582 0.0000 2.6807 Ta
0.0000 1.9582 2.6807 Ta
0.0000 0.0000 4.2648 Ni
0.0000 0.0000 6.4578 Ni
```

***

[6]
Compound: Tb3Ni2
Source: Alexandria
Functional: PBEsol
Structure: optimized geometry

Output
The formation energy is -0.3437 eV/atom. The calculation puts the spin magnetization at 0.00 μB/cell.

```
Tb3Ni2
1.0
6.5571 -1.8046 0.0000
6.5571 1.8046 0.0000
-2.5448 0.0000 9.0447
Tb Ni
6 4
Cartesian
0.8351 0.0000 1.5742 Tb
4.3305 0.0000 1.1827 Tb
3.5550 0.0000 4.5344 Tb
7.0144 0.0000 4.5102 Tb
6.2388 0.0000 7.8619 Tb
9.7342 0.0000 7.4705 Tb
-1.1824 0.0000 5.8249 Ni
1.3375 0.0000 6.5802 Ni
9.2319 0.0000 2.4644 Ni
11.7518 0.0000 3.2198 Ni
```

***

[7]
Compound: TbNi2
Source: Alexandria
Functional: PBEsol
Structure: optimized geometry

Output
The formation energy is -0.4561 eV/atom. The calculation puts the spin magnetization at 0.00 μB/cell.

```
TbNi2
1.0
0.0000 3.5251 3.5251
3.5251 0.0000 3.5251
3.5251 3.5251 0.0000
Tb Ni
2 4
Cartesian
0.8813 0.8813 0.8813 Tb
6.1689 6.1689 6.1689 Tb
3.5251 1.7626 1.7626 Ni
1.7626 3.5251 1.7626 Ni
1.7626 1.7626 3.5251 Ni
3.5251 3.5251 3.5251 Ni
```

***

[8]
Compound: Tb2Ni17
Source: Alexandria
Functional: PBEsol
Structure: optimized geometry

Output
The formation energy is -0.1975 eV/atom. The calculation puts the spin magnetization at 13.68 μB/cell.

```
Tb2Ni17
1.0
8.1622 0.0000 0.0000
-4.0811 7.0686 0.0000
0.0000 0.0000 7.8913
Tb Ni
4 34
Cartesian
0.0000 0.0000 1.9728 Tb
0.0000 0.0000 5.9185 Tb
0.0000 4.7124 1.9728 Tb
4.0811 2.3562 5.9185 Tb
-2.0405 3.5343 0.0000 Ni
-2.0405 3.5343 3.9456 Ni
-1.1591 2.6261 5.9185 Ni
-2.3863 4.7517 5.9185 Ni
0.0000 2.3425 0.1680 Ni
0.0000 2.3425 3.7777 Ni
-2.0524 5.8974 0.1680 Ni
-2.0524 5.8974 3.7777 Ni
1.1591 2.6261 5.9185 Ni
-1.2272 6.7594 5.9185 Ni
2.0287 1.1713 4.1136 Ni
2.0287 1.1713 7.7233 Ni
0.0000 4.7124 4.7485 Ni
0.0000 4.7124 7.0884 Ni
2.8539 0.3092 1.9728 Ni
1.6947 2.3169 1.9728 Ni
4.0811 0.0000 0.0000 Ni
4.0811 0.0000 3.9456 Ni
2.0405 3.5343 0.0000 Ni
2.0405 3.5343 3.9456 Ni
2.3863 4.7517 5.9185 Ni
1.2272 6.7594 5.9185 Ni
4.0811 2.3562 0.8029 Ni
4.0811 2.3562 3.1427 Ni
2.0524 5.8974 0.1680 Ni
2.0524 5.8974 3.7777 Ni
5.3083 0.3092 1.9728 Ni
2.9219 4.4425 1.9728 Ni
6.1335 1.1713 4.1136 Ni
6.1335 1.1713 7.7233 Ni
4.0811 4.7261 4.1136 Ni
4.0811 4.7261 7.7233 Ni
6.4674 2.3169 1.9728 Ni
5.2402 4.4425 1.9728 Ni
```

***

[9]
Compound: TbNi
Source: Alexandria
Functional: PBEsol
Structure: optimized geometry

Output
The formation energy is -0.4250 eV/atom. The calculation puts the spin magnetization at 0.00 μB/cell.

```
TbNi
1.0
1.8117 -4.9978 0.0000
1.8117 4.9978 0.0000
0.0000 0.0000 4.2100
Tb Ni
2 2
Cartesian
1.8117 3.6079 3.1575 Tb
1.8117 -3.6079 1.0525 Tb
1.8117 0.7335 3.1575 Ni
1.8117 -0.7335 1.0525 Ni
```

***

[10]
Compound: Tb2Ni7
Source: Alexandria
Functional: PBEsol
Structure: optimized geometry

Output
The formation energy is -0.3914 eV/atom. The calculation puts the spin magnetization at 4.23 μB/cell.

```
Tb2Ni7
1.0
4.8552 0.0000 0.0000
-2.4276 4.2047 0.0000
0.0000 0.0000 23.7916
Tb Ni
8 28
Cartesian
0.0000 2.8031 0.6969 Tb
0.0000 2.8031 4.1405 Tb
0.0000 2.8031 7.7552 Tb
0.0000 2.8031 11.1989 Tb
2.4276 1.4016 12.5926 Tb
2.4276 1.4016 16.0363 Tb
2.4276 1.4016 19.6510 Tb
2.4276 1.4016 23.0947 Tb
0.0000 0.0000 0.0000 Ni
0.0000 0.0000 3.9899 Ni
0.0000 0.0000 7.9059 Ni
0.0000 0.0000 11.8958 Ni
0.0000 0.0000 15.8857 Ni
0.0000 0.0000 19.8017 Ni
0.0000 1.4042 13.9333 Ni
0.0000 1.4030 17.8437 Ni
0.0000 1.4042 21.7541 Ni
-1.2115 3.5026 13.9333 Ni
-1.2126 3.5032 17.8437 Ni
-1.2115 3.5026 21.7541 Ni
0.0000 2.8031 15.8778 Ni
0.0000 2.8031 19.8096 Ni
1.2161 0.7021 2.0375 Ni
1.2150 0.7015 5.9479 Ni
1.2161 0.7021 9.8583 Ni
1.2115 3.5026 13.9333 Ni
1.2126 3.5032 17.8437 Ni
1.2115 3.5026 21.7541 Ni
2.4276 1.4016 3.9820 Ni
2.4276 1.4016 7.9138 Ni
3.6391 0.7021 2.0375 Ni
3.6402 0.7015 5.9479 Ni
3.6391 0.7021 9.8583 Ni
2.4276 2.8005 2.0375 Ni
2.4276 2.8017 5.9479 Ni
2.4276 2.8005 9.8583 Ni
```

***

[11]
Compound: Tb2Ni7
Source: Alexandria
Functional: PBEsol
Structure: optimized geometry

Output
The formation energy is -0.3916 eV/atom. The calculation puts the spin magnetization at 2.19 μB/cell.

```
Tb2Ni7
1.0
2.4279 1.4018 11.8890
-2.4279 1.4018 11.8890
0.0000 -2.8035 11.8890
Tb Ni
4 14
Cartesian
0.0000 0.0000 1.8077 Tb
0.0000 0.0000 5.2486 Tb
0.0000 0.0000 30.4183 Tb
0.0000 0.0000 33.8592 Tb
-1.2140 -0.7009 11.8890 Ni
-1.2167 -0.7025 15.7980 Ni
0.0000 0.0000 9.9241 Ni
0.0000 0.0000 13.8465 Ni
0.0000 -1.4049 19.8689 Ni
-1.2167 0.7025 19.8689 Ni
-1.2140 0.7009 23.7779 Ni
0.0000 1.4018 11.8890 Ni
0.0000 0.0000 17.8335 Ni
1.2167 -0.7025 15.7980 Ni
0.0000 1.4049 15.7980 Ni
0.0000 0.0000 21.8204 Ni
0.0000 0.0000 25.7428 Ni
1.2167 0.7025 19.8689 Ni
```

***

[12]
Compound: TbNi
Source: Alexandria
Functional: PBEsol
Structure: optimized geometry

Output
The formation energy is -0.4233 eV/atom. The calculation puts the spin magnetization at 0.00 μB/cell.

```
TbNi
1.0
6.8913 0.0000 0.0000
0.0000 4.1698 0.0000
0.0000 0.0000 5.3138
Tb Ni
4 4
Cartesian
1.2426 1.0425 0.7051 Tb
2.2030 3.1274 3.3620 Tb
4.6883 1.0425 1.9519 Tb
5.6486 3.1274 4.6088 Tb
0.2571 1.0425 3.3306 Ni
3.1885 3.1274 0.6736 Ni
3.7027 1.0425 4.6402 Ni
6.6342 3.1274 1.9833 Ni
```

***

[13]
Compound: TbNi5
Source: Alexandria
Functional: PBEsol
Structure: optimized geometry

Output
The formation energy is -0.3272 eV/atom. The calculation puts the spin magnetization at 1.26 μB/cell.

```
TbNi5
1.0
4.7999 0.0000 0.0000
-2.3999 4.1568 0.0000
0.0000 0.0000 3.9016
Tb Ni
1 5
Cartesian
0.0000 0.0000 0.0000 Tb
-1.2000 2.0784 1.9508 Ni
0.0000 2.7712 0.0000 Ni
2.3999 0.0000 1.9508 Ni
1.2000 2.0784 1.9508 Ni
2.3999 1.3856 0.0000 Ni
```

***

[14]
Compound: TbYNi2
Source: Alexandria
Functional: PBEsol
Structure: optimized geometry

Output
The formation energy is -0.4240 eV/atom. The calculation puts the spin magnetization at 0.00 μB/cell.

```
TbYNi2
1.0
4.1225 0.0000 0.0000
0.0000 5.3507 0.0000
0.0000 0.0000 6.9551
Tb Y Ni
2 2 4
Cartesian
0.0000 0.6293 0.0000 Tb
0.0000 4.7214 3.4776 Tb
2.0613 2.0468 4.4478 Y
2.0613 3.3039 0.9702 Y
0.0000 2.0009 2.4788 Ni
0.0000 3.3498 5.9563 Ni
2.0613 0.6653 1.9681 Ni
2.0613 4.6854 5.4457 Ni
```

***

[15]
Compound: TbZnNi
Source: Alexandria
Functional: PBEsol
Structure: optimized geometry

Output
The formation energy is -0.4523 eV/atom. The calculation puts the spin magnetization at 0.00 μB/cell.

```
TbZnNi
1.0
6.9018 0.0000 0.0000
-3.4509 5.9771 0.0000
0.0000 0.0000 3.7234
Tb Zn Ni
3 3 3
Cartesian
-2.0377 3.5294 0.0000 Tb
1.4132 2.4477 0.0000 Tb
4.0754 0.0000 0.0000 Tb
-0.8335 1.4437 1.8617 Zn
1.6670 0.0000 1.8617 Zn
2.6174 4.5335 1.8617 Zn
0.0000 0.0000 0.0000 Ni
0.0000 3.9847 1.8617 Ni
3.4509 1.9924 1.8617 Ni
```

***

[16]
Compound: Tb2ZnNi2
Source: Alexandria
Functional: PBEsol
Structure: optimized geometry

Output
The formation energy is -0.4595 eV/atom. The calculation puts the spin magnetization at 0.00 μB/cell.

```
Tb2ZnNi2
1.0
-2.0891 2.6368 4.0044
2.0891 -2.6368 4.0044
2.0891 2.6368 -4.0044
Tb Zn Ni
2 1 2
Cartesian
0.0000 0.0000 1.6172 Tb
0.0000 0.0000 6.3917 Tb
0.0000 2.6368 0.0000 Zn
2.0891 1.2231 0.0000 Ni
0.0000 1.4137 4.0044 Ni
```

***

[17]
Compound: TcNi
Source: Alexandria
Functional: PBEsol
Structure: optimized geometry

Output
Its polymorph energy (0 for the lowest one) is 0.0091 eV/atom. The formation energy is -0.0492 eV/atom. The calculation puts the spin magnetization at 0.00 μB/cell.

```
TcNi
1.0
4.1596 0.0000 0.0000
0.0000 2.5735 0.0000
0.0000 0.0000 4.5101
Tc Ni
2 2
Cartesian
1.0399 0.0000 0.7405 Tc
3.1197 0.0000 3.7696 Tc
1.0399 1.2868 2.9379 Ni
3.1197 1.2868 1.5722 Ni
```

***

[18]
Compound: TcNi5
Source: Alexandria
Functional: PBEsol
Structure: optimized geometry

Output
Its polymorph energy (0 for the lowest one) is 0.0264 eV/atom. The formation energy is 0.0299 eV/atom. The calculation puts the spin magnetization at 1.95 μB/cell.

```
TcNi5
1.0
4.0542 0.0000 0.0000
0.0000 1.2509 6.4920
0.0000 -1.2509 6.4920
Tc Ni
1 5
Cartesian
0.0000 0.0000 0.0000 Tc
0.0000 0.0000 4.2869 Ni
0.0000 0.0000 8.6737 Ni
2.0271 0.0000 1.4320 Ni
2.0271 0.0000 5.6840 Ni
2.0271 0.0000 10.0626 Ni
```

***

[19]
Compound: TcNi
Source: Alexandria
Functional: PBEsol
Structure: optimized geometry

Output
Its polymorph energy (0 for the lowest one) is 0.0000 eV/atom. The formation energy is -0.0583 eV/atom. The calculation puts the spin magnetization at 0.00 μB/cell.

```
TcNi
1.0
4.5398 0.0000 0.0000
0.0000 4.1287 0.0000
0.0000 0.0000 5.1656
Tc Ni
4 4
Cartesian
0.3925 1.0322 0.6472 Tc
1.8774 3.0965 3.2300 Tc
2.6624 1.0322 1.9356 Tc
4.1473 3.0965 4.5185 Tc
0.3428 1.0322 3.2061 Ni
1.9271 3.0965 0.6233 Ni
2.6128 1.0322 4.5423 Ni
4.1970 3.0965 1.9595 Ni
```

***

[20]
Compound: TcNi5
Source: Alexandria
Functional: PBEsol
Structure: optimized geometry

Output
Its polymorph energy (0 for the lowest one) is 0.0000 eV/atom. The formation energy is 0.0035 eV/atom. The calculation puts the spin magnetization at 0.00 μB/cell.

```
TcNi5
1.0
4.3060 0.0000 0.0000
-2.1530 3.7291 0.0000
0.0000 0.0000 4.0655
Tc Ni
1 5
Cartesian
0.0000 0.0000 0.0000 Tc
-0.7226 1.2515 2.0328 Ni
0.0000 2.4861 0.0000 Ni
1.4451 0.0000 2.0328 Ni
1.4304 2.4776 2.0328 Ni
2.1530 1.2430 0.0000 Ni
```

***

[21]
Compound: TcNi3
Source: Alexandria
Functional: PBEsol
Structure: optimized geometry

Output
The formation energy is 0.0427 eV/atom. The calculation puts the spin magnetization at 0.00 μB/cell.

```
TcNi3
1.0
-1.2679 4.0692 2.1789
1.2679 -4.0692 2.1789
1.2679 4.0692 -2.1789
Tc Ni
1 3
Cartesian
0.0000 0.0000 0.0000 Tc
1.2679 2.0639 0.6642 Ni
1.2679 0.0000 2.1495 Ni
0.0000 2.0053 2.8431 Ni
```

***

[22]
Compound: TcNi3
Source: Alexandria
Functional: PBEsol
Structure: optimized geometry

Output
The formation energy is 0.0304 eV/atom. The calculation puts the spin magnetization at 0.00 μB/cell.

```
TcNi3
1.0
2.5104 0.0000 0.0000
0.0000 4.0910 0.0000
0.0000 0.0000 4.3839
Tc Ni
1 3
Cartesian
0.0000 0.0000 0.0000 Tc
0.0000 2.0455 2.9809 Ni
1.2552 0.0000 2.1961 Ni
1.2552 2.0455 0.8180 Ni
```

***

[23]
Compound: TcNi5
Source: Alexandria
Functional: PBEsol
Structure: optimized geometry

Output
Its polymorph energy (0 for the lowest one) is 0.0133 eV/atom. The formation energy is 0.0168 eV/atom. The calculation puts the spin magnetization at 0.00 μB/cell.

```
TcNi5
1.0
1.7629 -5.2710 0.0000
1.7629 5.2710 0.0000
0.0000 0.0000 3.5191
Tc Ni
1 5
Cartesian
0.0000 0.0000 0.0000 Tc
1.7629 3.5039 1.7596 Ni
1.7629 1.7316 0.0000 Ni
1.7629 0.0000 1.7596 Ni
1.7629 -1.7316 0.0000 Ni
1.7629 -3.5039 1.7596 Ni
```

***

[24]
Compound: TcNi5
Source: Alexandria
Functional: PBEsol
Structure: optimized geometry

Output
Its polymorph energy (0 for the lowest one) is 0.0120 eV/atom. The formation energy is 0.0155 eV/atom. The calculation puts the spin magnetization at 1.92 μB/cell.

```
TcNi5
1.0
2.5146 0.0000 0.0000
0.0000 2.5146 0.0000
0.0000 0.0000 10.4067
Tc Ni
1 5
Cartesian
0.0000 0.0000 0.0000 Tc
0.0000 0.0000 3.5457 Ni
0.0000 0.0000 6.8611 Ni
1.2573 1.2573 1.8377 Ni
1.2573 1.2573 5.2034 Ni
1.2573 1.2573 8.5690 Ni
```